[1]
First-principles (GGA-PBEsol) data for CoPCl after structural relaxation, as listed in the Alexandria database.

Unit cell a=3.9672 b=3.9672 c=3.9672 alpha=60.00 beta=60.00 gamma=60.00
Closest atoms and distances in Å follow each position.
Sites, in units of the cell vectors:
Cl  0.5000  0.5000  0.5000  4 Co 2.43
P  0.0000  0.0000  0.0000  4 Co 2.43
Co  0.2500  0.2500  0.2500  4 Cl 2.43, 4 P 2.43

Calculated values
* mass density: 4.71 g/cm3
* formation energy from raw total energies: 0.243 eV/atom
* space-group type: F-43m (216)
* total DFT energy (no corrections): -4.94 eV per atom
* density of states at the Fermi level: 1.72 states/eV per cell



[2]
First-principles (GGA-PBEsol) data for CoP2Cl after structural relaxation, as listed in the Alexandria database.

Unit cell a=2.9896 b=2.9896 c=6.6101 alpha=90.00 beta=90.00 gamma=90.00
Closest atoms and distances in Å follow each position.
Sites, in units of the cell vectors:
Co  0.5000  0.5000  0.8128  5 P 2.27-2.36
P  0.5000  0.5000  0.1567  1 Co 2.27, 4 P 2.44
P  0.0000  0.0000  0.9714  4 Co 2.36, 4 P 2.44
Cl  0.0000  0.0000  0.5591  4 Co 2.70, 1 P 2.73, 4 Cl 2.99

Calculated values
* mass density: 4.39 g/cm3
* formation energy from raw total energies: 0.092 eV/atom
* space-group type: P4mm (99)
* total DFT energy (no corrections): -5.24 eV per atom
* density of states at the Fermi level: 2.27 states/eV per cell



[3]
First-principles (GGA-PBEsol) data for CoP2PdCl after structural relaxation, as listed in the Alexandria database.

Unit cell a=4.2068 b=4.2068 c=4.6514 alpha=90.00 beta=90.00 gamma=90.00
Closest atoms and distances in Å follow each position.
Sites, in units of the cell vectors:
Cl  0.0000  0.0000  0.5000  2 Co 2.33
P  0.5000  0.0000  0.0000  2 Co 2.10
P  0.0000  0.5000  0.0000  2 Co 2.10
Pd  0.5000  0.5000  0.5000  4 Cl 2.97, 8 P 3.14
Co  0.0000  0.0000  0.0000  4 P 2.10, 2 Cl 2.33

Calculated values
* mass density: 5.30 g/cm3
* formation energy from raw total energies: 0.436 eV/atom
* space-group type: P4/mmm (123)
* total DFT energy (no corrections): -5.02 eV per atom
* density of states at the Fermi level: 3.29 states/eV per cell



[4]
First-principles (GGA-PBEsol) data for Rb2CoPCl after structural relaxation, as listed in the Alexandria database.

Unit cell a=4.0207 b=6.2865 c=6.2865 alpha=90.00 beta=90.00 gamma=90.00
Closest atoms and distances in Å follow each position.
Sites, in units of the cell vectors:
Co  0.0000  0.0000  0.0000  2 Cl 2.01
P  0.5000  0.5000  0.5000  8 Rb 3.73, 2 P 4.02
Rb  0.0000  0.5000  0.0000  2 Co 3.14
Rb  0.0000  0.0000  0.5000  2 Co 3.14
Cl  0.5000  0.0000  0.0000  2 Co 2.01

Calculated values
* mass density: 3.10 g/cm3
* formation energy from raw total energies: 0.262 eV/atom
* space-group type: P4/mmm (123)
* total DFT energy (no corrections): -3.26 eV per atom
* density of states at the Fermi level: 8.70 states/eV per cell



[5]
First-principles (GGA-PBEsol) data for TaCoPCl2 after structural relaxation, as listed in the Alexandria database.

Unit cell a=4.6589 b=4.6589 c=4.9547 alpha=90.00 beta=90.00 gamma=90.00
Closest atoms and distances in Å follow each position.
Sites, in units of the cell vectors:
Ta  0.0000  0.0000  0.0000  4 Cl 2.33, 2 P 2.48
Cl  0.5000  0.0000  0.0000  2 Ta 2.33
Cl  0.0000  0.5000  0.0000  2 Ta 2.33
Co  0.5000  0.5000  0.5000  4 P 3.29, 8 Cl 3.40
P  0.0000  0.0000  0.5000  2 Ta 2.48

Calculated values
* mass density: 5.28 g/cm3
* formation energy from raw total energies: 0.506 eV/atom
* space-group type: P4/mmm (123)
* total DFT energy (no corrections): -5.51 eV per atom
* density of states at the Fermi level: 7.33 states/eV per cell



[6]
First-principles (GGA-PBEsol) data for CoTcPCl2 after structural relaxation, as listed in the Alexandria database.

Unit cell a=4.4781 b=4.4117 c=4.4117 alpha=90.00 beta=90.00 gamma=90.00
Closest atoms and distances in Å follow each position.
Sites, in units of the cell vectors:
Co  0.0000  0.0000  0.0000  4 Cl 2.21, 2 P 2.24
Tc  0.5000  0.5000  0.5000  4 P 3.12, 8 Cl 3.14
P  0.5000  0.0000  0.0000  2 Co 2.24
Cl  0.0000  0.0000  0.5000  2 Co 2.21
Cl  0.0000  0.5000  0.0000  2 Co 2.21

Calculated values
* mass density: 4.93 g/cm3
* formation energy from raw total energies: 0.773 eV/atom
* space-group type: P4/mmm (123)
* total DFT energy (no corrections): -4.99 eV per atom
* density of states at the Fermi level: 3.31 states/eV per cell



formation energy from raw total energies of number 2 (CoP2Cl)? 0.092 eV/atom



The lowest density of states at the Fermi level belongs to which entry? CoPCl



Among the records above, which one has the lowest mass density? Rb2CoPCl